# SrSm3Hg6, relaxed, DFT PBE
# E = -2.200 eV/atom
# E_form = -42.00 kJ per mole of atoms
# Fermi-level density of states = 14.56 states/eV per cell
data_SrSm3Hg6
_chemical_formula_sum 'Sr2 Sm6 Hg12'
_symmetry_space_group_name_H-M 'P 1'
_symmetry_Int_Tables_number 1
_cell_length_a 5.2820
_cell_length_b 9.4649
_cell_length_c 11.5197
_cell_angle_alpha 106.96
_cell_angle_beta 90.00
_cell_angle_gamma 90.00
loop_
_symmetry_equiv_pos_as_xyz
'x,y,z'
loop_
_atom_site_label
_atom_site_fract_x
_atom_site_fract_y
_atom_site_fract_z
Sr1 0.2500 0.9389 0.6086
Sr2 0.7500 0.0611 0.3914
Sm1 0.2500 0.5113 0.3812
Sm2 0.7500 0.4887 0.6188
Sm3 0.2500 0.3576 0.8035
Sm4 0.7500 0.6424 0.1965
Sm5 0.2500 0.7755 0.9886
Sm6 0.7500 0.2245 0.0114
Hg1 0.2500 0.4619 0.0873
Hg2 0.7500 0.5381 0.9127
Hg3 0.2500 0.1461 0.1980
Hg4 0.7500 0.8539 0.8020
Hg5 0.2500 0.6492 0.7029
Hg6 0.7500 0.3508 0.2971
Hg7 0.2500 0.2663 0.5188
Hg8 0.7500 0.7337 0.4812
Hg9 0.2500 0.8216 0.2946
Hg10 0.7500 0.1784 0.7054
Hg11 0.2500 0.0669 0.9007
Hg12 0.7500 0.9331 0.0993